Entry 1:
{"formula": "LiCaLu2", "functional": "GGA-PBE", "state": "optimized geometry", "lattice": [[-3.197, 0.761, -1.482], [-0.870, -3.498, 0.082], [-3.563, 1.079, 8.244]], "species": ["Ca", "Lu", "Lu", "Li"], "fractional_positions": [[0.500, 0.500, 0.500], [0.000, 0.000, 0.803], [0.000, 0.000, 0.197], [0.500, 0.500, 0.000]], "energy_ev_per_cell": -12.2, "n_ef_per_ev_fu": 6.8, "m_tot_mub_per_cell": 0.0}

Entry 2:
{"formula": "LiCaLu2", "functional": "GGA-PBE", "state": "optimized geometry", "lattice": [[-0.713, -2.630, 2.066], [2.510, -1.534, 1.744], [-1.062, 6.143, 10.285]], "species": ["Ca", "Lu", "Lu", "Li"], "fractional_positions": [[0.000, 0.000, 0.000], [0.093, 0.093, 0.722], [0.907, 0.907, 0.278], [0.500, 0.500, 0.500]], "energy_ev_per_cell": -11.7, "n_ef_per_ev_fu": 4.9, "m_tot_mub_per_cell": 0.6}

Entry 3:
{"formula": "Li2CaLu", "functional": "GGA-PBE", "state": "optimized geometry", "lattice": [[-1.080, 0.123, 3.581], [-0.932, -3.621, -0.157], [7.145, -1.934, 2.220]], "species": ["Ca", "Lu", "Li", "Li"], "fractional_positions": [[0.500, 0.500, 0.500], [0.500, 0.500, 0.000], [0.000, 0.000, 0.769], [0.000, 0.000, 0.231]], "energy_ev_per_cell": -9.9, "n_ef_per_ev_fu": 3.0, "m_tot_mub_per_cell": 0.0}

Entry 4:
{"formula": "LiCaNdLu", "functional": "GGA-PBE", "state": "optimized geometry", "lattice": [[5.632, 0.000, 0.000], [2.816, 4.877, 0.000], [2.816, 1.626, 4.598]], "species": ["Ca", "Lu", "Nd", "Li"], "fractional_positions": [[0.250, 0.250, 0.250], [0.500, 0.500, 0.500], [0.750, 0.750, 0.750], [0.000, 0.000, 0.000]], "energy_ev_per_cell": -12.4, "n_ef_per_ev_fu": 5.4, "m_tot_mub_per_cell": 0.0}

Entry 5:
{"formula": "LiCaLuNi", "functional": "GGA-PBE", "state": "optimized geometry", "lattice": [[-0.336, -1.610, 4.640], [-2.123, -4.338, 0.952], [2.741, -3.808, 1.488]], "species": ["Ni", "Ca", "Lu", "Li"], "fractional_positions": [[0.250, 0.250, 0.250], [0.000, 0.000, 0.000], [0.500, 0.500, 0.500], [0.750, 0.750, 0.750]], "energy_ev_per_cell": -14.4, "n_ef_per_ev_fu": 3.6, "m_tot_mub_per_cell": 0.0}

Entry 6:
{"formula": "LiCaLuPb", "functional": "GGA-PBE", "state": "optimized geometry", "lattice": [[5.334, 0.000, 0.000], [2.667, 4.619, 0.000], [2.667, 1.540, 4.355]], "species": ["Pb", "Ca", "Lu", "Li"], "fractional_positions": [[0.000, 0.000, 0.000], [0.250, 0.250, 0.250], [0.750, 0.750, 0.750], [0.500, 0.500, 0.500]], "energy_ev_per_cell": -13.2, "n_ef_per_ev_fu": 1.9, "m_tot_mub_per_cell": 0.0}

Entry 7:
{"formula": "LiCaPrLu", "functional": "GGA-PBE", "state": "optimized geometry", "lattice": [[5.645, 0.000, 0.000], [2.823, 4.889, 0.000], [2.823, 1.630, 4.609]], "species": ["Pr", "Ca", "Lu", "Li"], "fractional_positions": [[0.750, 0.750, 0.750], [0.250, 0.250, 0.250], [0.500, 0.500, 0.500], [0.000, 0.000, 0.000]], "energy_ev_per_cell": -12.4, "n_ef_per_ev_fu": 5.2, "m_tot_mub_per_cell": 0.0}

Entry 8:
{"formula": "LiCaLuRh", "functional": "GGA-PBE", "state": "optimized geometry", "lattice": [[-3.639, 0.984, 3.150], [-2.150, -3.650, 2.487], [0.747, -0.452, 4.834]], "species": ["Ca", "Lu", "Rh", "Li"], "fractional_positions": [[0.750, 0.750, 0.750], [0.250, 0.250, 0.250], [0.500, 0.500, 0.500], [0.000, 0.000, 0.000]], "energy_ev_per_cell": -17.3, "n_ef_per_ev_fu": 2.0, "m_tot_mub_per_cell": 0.0}

Entry 9:
{"formula": "LiCaLuRu", "functional": "GGA-PBE", "state": "optimized geometry", "lattice": [[-2.907, -1.873, 3.474], [-0.776, -4.836, 0.201], [1.931, -2.642, 3.650]], "species": ["Ru", "Ca", "Lu", "Li"], "fractional_positions": [[0.250, 0.250, 0.250], [0.500, 0.500, 0.500], [0.000, 0.000, 0.000], [0.750, 0.750, 0.750]], "energy_ev_per_cell": -18.0, "n_ef_per_ev_fu": 1.1, "m_tot_mub_per_cell": 0.0}

Entry 10:
{"formula": "LiCaLuSn", "functional": "GGA-PBE", "state": "optimized geometry", "lattice": [[-4.441, 0.735, 2.689], [-4.084, -3.199, -0.759], [-1.396, -3.402, 3.738]], "species": ["Ca", "Lu", "Sn", "Li"], "fractional_positions": [[0.500, 0.500, 0.500], [0.000, 0.000, 0.000], [0.250, 0.250, 0.250], [0.750, 0.750, 0.750]], "energy_ev_per_cell": -13.9, "n_ef_per_ev_fu": 2.1, "m_tot_mub_per_cell": 0.0}

Entry 11:
{"formula": "LiCaLuTl", "functional": "GGA-PBE", "state": "optimized geometry", "lattice": [[5.300, 0.000, 0.000], [2.650, 4.590, 0.000], [2.650, 1.530, 4.327]], "species": ["Tl", "Lu", "Ca", "Li"], "fractional_positions": [[0.250, 0.250, 0.250], [0.500, 0.500, 0.500], [0.000, 0.000, 0.000], [0.750, 0.750, 0.750]], "energy_ev_per_cell": -11.6, "n_ef_per_ev_fu": 3.5, "m_tot_mub_per_cell": 0.0}

Entry 12:
{"formula": "LiCaLuZn", "functional": "GGA-PBE", "state": "optimized geometry", "lattice": [[5.145, 0.000, 0.000], [2.572, 4.455, 0.000], [2.572, 1.485, 4.201]], "species": ["Zn", "Lu", "Ca", "Li"], "fractional_positions": [[0.000, 0.000, 0.000], [0.750, 0.750, 0.750], [0.250, 0.250, 0.250], [0.500, 0.500, 0.500]], "energy_ev_per_cell": -10.0, "n_ef_per_ev_fu": 3.6, "m_tot_mub_per_cell": 0.0}

Entry 13:
{"formula": "Li10CaMg3", "functional": "GGA-PBE", "state": "optimized geometry", "lattice": [[8.602, 0.000, 4.967], [2.867, 8.110, 4.967], [0.000, 0.000, 9.933]], "species": ["Li", "Li", "Li", "Li", "Li", "Li", "Li", "Li", "Li", "Li", "Li", "Li", "Li", "Li", "Li", "Li", "Li", "Li", "Li", "Li", "Ca", "Ca", "Mg", "Mg", "Mg", "Mg", "Mg", "Mg"], "fractional_positions": [[0.000, 0.000, 0.349], [0.000, 0.349, 0.000], [0.349, 0.000, 0.000], [0.651, 0.349, 0.000], [0.365, 0.365, 0.365], [0.096, 0.635, 0.635], [0.365, 0.904, 0.365], [0.651, 0.000, 0.349], [0.365, 0.365, 0.904], [0.904, 0.365, 0.365], [0.635, 0.635, 0.096], [0.000, 0.000, 0.651], [0.349, 0.651, 0.000], [0.000, 0.651, 0.349], [0.000, 0.349, 0.651], [0.651, 0.000, 0.000], [0.635, 0.635, 0.635], [0.000, 0.651, 0.000], [0.635, 0.096, 0.635], [0.349, 0.000, 0.651], [0.250, 0.250, 0.250], [0.750, 0.750, 0.750], [0.673, 0.673, 0.327], [0.673, 0.327, 0.673], [0.327, 0.673, 0.673], [0.327, 0.327, 0.673], [0.673, 0.327, 0.327], [0.327, 0.673, 0.327]], "energy_ev_per_cell": -48.1, "n_ef_per_ev_fu": 4.7, "m_tot_mub_per_cell": 0.0}

Entry 14:
{"formula": "LiCa3Mg3", "functional": "GGA-PBE", "state": "optimized geometry", "lattice": [[7.474, 0.538, -0.029], [0.556, 7.473, -0.029], [-0.025, -0.025, 7.731]], "species": ["Li", "Li", "Ca", "Ca", "Ca", "Ca", "Ca", "Ca", "Mg", "Mg", "Mg", "Mg", "Mg", "Mg"], "fractional_positions": [[0.225, 0.225, 0.962], [0.775, 0.775, 0.038], [0.223, 0.223, 0.537], [0.285, 0.715, 0.500], [0.715, 0.285, 0.500], [0.311, 0.689, 0.000], [0.689, 0.311, 0.000], [0.777, 0.777, 0.463], [0.979, 0.979, 0.787], [0.467, 0.023, 0.216], [0.023, 0.467, 0.216], [0.533, 0.977, 0.784], [0.977, 0.533, 0.784], [0.021, 0.021, 0.213]], "energy_ev_per_cell": -25.4, "n_ef_per_ev_fu": 5.3, "m_tot_mub_per_cell": 0.0}

Entry 15:
{"formula": "Li8CaMg3", "functional": "GGA-PBE", "state": "optimized geometry", "lattice": [[-4.236, -3.313, 1.793], [3.604, -1.893, -3.945], [5.499, -3.423, 6.665]], "species": ["Li", "Li", "Li", "Li", "Li", "Li", "Li", "Li", "Ca", "Mg", "Mg", "Mg"], "fractional_positions": [[0.333, 0.667, 0.498], [0.333, 0.667, 0.996], [0.505, 0.011, 0.763], [0.505, 0.495, 0.763], [0.989, 0.495, 0.763], [0.164, 0.327, 0.239], [0.164, 0.836, 0.239], [0.673, 0.836, 0.239], [0.000, 0.000, 0.565], [0.667, 0.333, 0.421], [0.667, 0.333, 0.067], [0.000, 0.000, 0.947]], "energy_ev_per_cell": -22.2, "n_ef_per_ev_fu": 6.5, "m_tot_mub_per_cell": 0.0}

Entry 16:
{"formula": "Li10CaMg", "functional": "GGA-PBE", "state": "optimized geometry", "lattice": [[4.770, 0.000, 0.000], [0.000, 5.698, 0.000], [0.000, 0.000, 9.984]], "species": ["Li", "Li", "Li", "Li", "Li", "Li", "Li", "Li", "Li", "Li", "Ca", "Mg"], "fractional_positions": [[0.000, 0.000, 0.348], [0.000, 0.500, 0.814], [0.000, 0.500, 0.186], [0.000, 0.000, 0.652], [0.500, 0.000, 0.500], [0.500, 0.500, 0.000], [0.500, 0.257, 0.265], [0.500, 0.743, 0.735], [0.500, 0.743, 0.265], [0.500, 0.257, 0.735], [0.000, 0.000, 0.000], [0.000, 0.500, 0.500]], "energy_ev_per_cell": -22.0, "n_ef_per_ev_fu": 6.2, "m_tot_mub_per_cell": 0.0}

Entry 17:
{"formula": "Li5Ca2Mg", "functional": "GGA-PBE", "state": "optimized geometry", "lattice": [[-3.812, -0.084, 3.726], [2.474, -4.043, 2.440], [4.440, 6.763, 0.881]], "species": ["Li", "Li", "Li", "Li", "Li", "Ca", "Ca", "Mg"], "fractional_positions": [[0.500, 0.500, 0.000], [0.601, 0.101, 0.202], [0.101, 0.601, 0.202], [0.399, 0.899, 0.798], [0.899, 0.399, 0.798], [0.248, 0.248, 0.497], [0.752, 0.752, 0.503], [0.000, 0.000, 0.000]], "energy_ev_per_cell": -15.1, "n_ef_per_ev_fu": 5.1, "m_tot_mub_per_cell": 0.0}

Entry 18:
{"formula": "Li2Ca2Mg15", "functional": "GGA-PBE", "state": "optimized geometry", "lattice": [[7.872, 0.003, 0.003], [1.024, 7.805, 0.003], [1.024, 0.899, 7.753]], "species": ["Li", "Li", "Ca", "Ca", "Mg", "Mg", "Mg", "Mg", "Mg", "Mg", "Mg", "Mg", "Mg", "Mg", "Mg", "Mg", "Mg", "Mg", "Mg"], "fractional_positions": [[0.096, 0.096, 0.096], [0.904, 0.904, 0.904], [0.336, 0.336, 0.336], [0.664, 0.664, 0.664], [0.500, 0.000, 0.000], [0.000, 0.000, 0.500], [0.000, 0.500, 0.000], [0.000, 0.696, 0.304], [0.696, 0.304, 0.000], [0.304, 0.000, 0.696], [0.304, 0.696, 0.000], [0.696, 0.000, 0.304], [0.000, 0.304, 0.696], [0.157, 0.653, 0.653], [0.653, 0.653, 0.157], [0.653, 0.157, 0.653], [0.843, 0.347, 0.347], [0.347, 0.347, 0.843], [0.347, 0.843, 0.347]], "energy_ev_per_cell": -32.2, "n_ef_per_ev_fu": 10.4, "m_tot_mub_per_cell": 0.0}

Entry 19:
{"formula": "LiCaMg3", "functional": "GGA-PBE", "state": "optimized geometry", "lattice": [[5.065, 0.000, 0.000], [0.000, 5.065, 0.000], [0.000, 0.000, 5.065]], "species": ["Ca", "Mg", "Mg", "Mg", "Li"], "fractional_positions": [[0.500, 0.500, 0.500], [0.000, 0.500, 0.000], [0.000, 0.000, 0.500], [0.500, 0.000, 0.000], [0.000, 0.000, 0.000]], "energy_ev_per_cell": -8.2, "n_ef_per_ev_fu": 2.4, "m_tot_mub_per_cell": 0.0}

Entry 20:
{"formula": "LiCa5Mg2", "functional": "GGA-PBE", "state": "optimized geometry", "lattice": [[5.464, 0.000, 0.000], [0.000, 7.175, 0.000], [0.000, 0.000, 13.859]], "species": ["Li", "Li", "Ca", "Ca", "Ca", "Ca", "Ca", "Ca", "Ca", "Ca", "Ca", "Ca", "Mg", "Mg", "Mg", "Mg"], "fractional_positions": [[0.000, 0.000, 0.500], [0.000, 0.500, 0.000], [0.500, 0.325, 0.108], [0.500, 0.675, 0.892], [0.500, 0.825, 0.392], [0.500, 0.175, 0.608], [0.000, 0.892, 0.732], [0.000, 0.108, 0.268], [0.000, 0.392, 0.768], [0.000, 0.608, 0.232], [0.000, 0.500, 0.500], [0.000, 0.000, 0.000], [0.500, 0.340, 0.366], [0.500, 0.660, 0.634], [0.500, 0.160, 0.866], [0.500, 0.840, 0.134]], "energy_ev_per_cell": -30.5, "n_ef_per_ev_fu": 9.3, "m_tot_mub_per_cell": 0.0}

Entry 21:
{"formula": "Li5CaMg", "functional": "GGA-PBE", "state": "optimized geometry", "lattice": [[5.686, -0.589, -0.666], [-2.407, 5.185, -0.666], [-0.788, -1.104, 6.477]], "species": ["Li", "Li", "Li", "Li", "Li", "Ca", "Mg"], "fractional_positions": [[0.454, 0.871, 0.260], [0.871, 0.454, 0.260], [0.000, 0.000, 0.500], [0.129, 0.546, 0.740], [0.546, 0.129, 0.740], [0.000, 0.000, 0.000], [0.500, 0.500, 0.500]], "energy_ev_per_cell": -12.7, "n_ef_per_ev_fu": 5.1, "m_tot_mub_per_cell": 0.0}

Entry 22:
{"formula": "Li5CaMg", "functional": "GGA-PBE", "state": "optimized geometry", "lattice": [[4.078, 0.000, 0.000], [0.000, 4.078, 0.000], [0.000, 0.000, 10.274]], "species": ["Li", "Li", "Li", "Li", "Li", "Ca", "Mg"], "fractional_positions": [[0.000, 0.500, 0.225], [0.000, 0.500, 0.775], [0.500, 0.000, 0.225], [0.500, 0.000, 0.775], [0.000, 0.000, 0.000], [0.000, 0.000, 0.500], [0.500, 0.500, 0.000]], "energy_ev_per_cell": -12.8, "n_ef_per_ev_fu": 4.4, "m_tot_mub_per_cell": 0.0}

Entry 23:
{"formula": "LiCa2Mg2", "functional": "GGA-PBE", "state": "optimized geometry", "lattice": [[-3.914, 4.225, -0.958], [2.052, 0.442, -6.433], [-4.065, -7.403, 1.753]], "species": ["Li", "Li", "Ca", "Ca", "Ca", "Ca", "Mg", "Mg", "Mg", "Mg"], "fractional_positions": [[0.250, 0.500, 0.000], [0.750, 0.500, 0.000], [0.103, 0.952, 0.206], [0.897, 0.048, 0.794], [0.397, 0.746, 0.794], [0.603, 0.254, 0.206], [0.676, 0.809, 0.352], [0.324, 0.191, 0.648], [0.824, 0.457, 0.648], [0.176, 0.543, 0.352]], "energy_ev_per_cell": -17.7, "n_ef_per_ev_fu": 3.4, "m_tot_mub_per_cell": 0.0}

Entry 24:
{"formula": "Li5CaMg2", "functional": "GGA-PBE", "state": "optimized geometry", "lattice": [[-2.337, -4.713, -3.312], [6.182, -0.597, 0.270], [-2.460, -0.132, 5.707]], "species": ["Li", "Li", "Li", "Li", "Li", "Ca", "Mg", "Mg"], "fractional_positions": [[0.468, 0.710, 0.710], [0.000, 0.243, 0.710], [0.000, 0.710, 0.243], [0.532, 0.243, 0.243], [0.000, 0.722, 0.722], [0.000, 0.187, 0.187], [0.500, 0.232, 0.732], [0.500, 0.732, 0.232]], "energy_ev_per_cell": -14.6, "n_ef_per_ev_fu": 3.4, "m_tot_mub_per_cell": 0.0}